Record 1
Here is a relaxed structure of CsK2YF6 from Alexandria via LeMat-Bulk. Energies are from PBE.

Summary:
The value obtained for the energy relative to the elements, uncorrected is -3.197 eV per atom. The raw total energy is -5.271 eV per atom. The total magnetic moment comes out at 0.00 μB/f.u.

Lattice parameters (Å, degrees): 9.933 9.933 9.933 90.00 90.00 90.00
Space group Fm-3m (No. 225)
Symmetry-distinct sites (fractional):
Cs 0.000 0.000 0.000
K 0.250 0.250 0.250
Y 0.000 0.000 0.500
F 0.000 0.000 0.280

Record 2
Here is a relaxed structure of CsK2ZnF6 from Alexandria via LeMat-Bulk. Energies are from PBE.

Summary:
The value obtained for the energy relative to the elements, uncorrected is -2.389 eV per atom. The raw total energy is -3.944 eV per atom. The total magnetic moment comes out at 1.03 μB/f.u.

Lattice parameters (Å, degrees): 6.302 6.806 10.794 90.00 124.16 90.00
Space group P2_1/c (No. 14)
Symmetry-distinct sites (fractional):
Cs 0.000 0.000 0.000
K 0.219 0.033 0.729
Zn 0.500 0.000 0.500
F 0.214 0.154 0.478
F 0.248 0.722 0.890
F 0.427 0.110 0.309

Record 3
Here is a relaxed structure of Cs2KZnF5 from Alexandria via LeMat-Bulk. Energies are from PBE.

Summary:
The value obtained for the energy relative to the elements, uncorrected is -2.483 eV per atom. The raw total energy is -3.976 eV per atom. The total magnetic moment comes out at 0.00 μB/f.u.

Lattice parameters (Å, degrees): 7.763 7.763 6.899 90.00 90.00 90.00
Space group P4/mbm (No. 127)
Symmetry-distinct sites (fractional):
Cs 0.176 0.324 0.000
K 0.000 0.000 0.500
Zn 0.000 0.500 0.500
F 0.000 0.000 0.000
F 0.129 0.629 0.306

Record 4
Here is a relaxed structure of CsK4Zn3F12 from Alexandria via LeMat-Bulk. Energies are from PBE.

Summary:
The value obtained for the energy relative to the elements, uncorrected is -2.401 eV per atom. The raw total energy is -3.977 eV per atom. The total magnetic moment comes out at 1.16 μB/f.u.

Lattice parameters (Å, degrees): 9.135 9.135 9.135 90.00 90.00 90.00
Space group Im-3 (No. 204)
Symmetry-distinct sites (fractional):
Cs 0.000 0.000 0.000
K 0.250 0.250 0.250
Zn 0.000 0.000 0.500
F 0.000 0.146 0.347

Record 5
Here is a relaxed structure of Cs2KZnF from Alexandria via LeMat-Bulk. Energies are from PBE.

Summary:
The value obtained for the energy relative to the elements, uncorrected is -0.925 eV per atom. The raw total energy is -2.115 eV per atom. The total magnetic moment comes out at 0.00 μB/f.u.

Lattice parameters (Å, degrees): 6.131 6.131 5.534 90.00 90.00 90.00
Space group P4/mmm (No. 123)
Symmetry-distinct sites (fractional):
Cs 0.000 0.500 0.000
K 0.000 0.000 0.500
Zn 0.500 0.500 0.500
F 0.000 0.000 0.000

Record 6
Here is a relaxed structure of Cs3KZn2F9 from Alexandria via LeMat-Bulk. Energies are from PBE.

Summary:
The value obtained for the energy relative to the elements, uncorrected is -2.443 eV per atom. The raw total energy is -3.979 eV per atom. The total magnetic moment comes out at 1.16 μB/f.u.

Lattice parameters (Å, degrees): 6.2911 6.2911 7.8560 90.00 90.00 120.00
Space group P-3m1 (No. 164)
Symmetry-distinct sites (fractional):
Cs 0.0000 0.0000 0.0000
Cs 0.3333 0.6667 0.6626
K 0.0000 0.0000 0.5000
Zn 0.3333 0.6667 0.1501
F 0.0000 0.5000 0.0000
F 0.1848 0.3695 0.2944

Record 7
Here is a relaxed structure of CsK2ZnF from Alexandria via LeMat-Bulk. Energies are from PBE.

Summary:
The value obtained for the energy relative to the elements, uncorrected is -0.932 eV per atom. The raw total energy is -2.171 eV per atom. The total magnetic moment comes out at 0.00 μB/f.u.

Lattice parameters (Å, degrees): 5.491 5.491 6.189 90.00 90.00 90.00
Space group P4/mmm (No. 123)
Symmetry-distinct sites (fractional):
Cs 0.000 0.000 0.000
K 0.000 0.500 0.500
Zn 0.500 0.500 0.000
F 0.000 0.000 0.500

Record 8
Here is a relaxed structure of Cs3K3ZnF8 from Alexandria via LeMat-Bulk. Energies are from PBE.

Summary:
The value obtained for the energy relative to the elements, uncorrected is -2.609 eV per atom. The raw total energy is -4.082 eV per atom. The total magnetic moment comes out at 0.00 μB/f.u.

Lattice parameters (Å, degrees): 7.7400 7.7400 20.1617 90.00 90.00 120.00
Space group R-3m (No. 166, hexagonal axes)
Symmetry-distinct sites (fractional):
Cs 0.0000 0.5000 0.0000
K 0.0000 0.5000 0.5000
Zn 0.0000 0.0000 0.5000
F 0.0000 0.0000 0.2387
F 0.0687 0.5343 0.2259

Record 9
Here is a relaxed structure of Cs2KZrF6 from Alexandria via LeMat-Bulk. Energies are from PBE.

Summary:
The value obtained for the energy relative to the elements, uncorrected is -3.010 eV per atom. The raw total energy is -5.268 eV per atom. The total magnetic moment comes out at 0.79 μB/f.u.

Lattice parameters (Å, degrees): 6.9687 6.9687 32.8540 90.00 90.00 120.00
Space group R-3m (No. 166, hexagonal axes)
Symmetry-distinct sites (fractional):
Cs 0.0000 0.0000 0.1291
Cs 0.0000 0.0000 0.2664
K 0.0000 0.0000 0.3991
Zr 0.0000 0.0000 0.0000
Zr 0.0000 0.0000 0.5000
F 0.0294 0.5147 0.1328
F 0.0607 0.5304 0.7070

Record 10
Here is a relaxed structure of Cs4LaF7 from Alexandria via LeMat-Bulk. Energies are from PBE.

Summary:
The value obtained for the energy relative to the elements, uncorrected is -3.145 eV per atom. The raw total energy is -4.932 eV per atom. The total magnetic moment comes out at 0.20 μB/f.u.

Lattice parameters (Å, degrees): 15.125 4.861 10.858 90.00 126.25 90.00
Space group C2/m (No. 12)
Symmetry-distinct sites (fractional):
Cs 0.078 0.000 0.254
Cs 0.245 0.000 0.858
La 0.000 0.500 0.500
F 0.000 0.000 0.500
F 0.063 0.500 0.752
F 0.134 0.000 0.034
F 0.174 0.500 0.565

Record 11
Here is a relaxed structure of CsLaF4 from Alexandria via LeMat-Bulk. Energies are from PBE.

Summary:
The value obtained for the energy relative to the elements, uncorrected is -3.705 eV per atom. The raw total energy is -5.916 eV per atom. The total magnetic moment comes out at 0.00 μB/f.u.

Lattice parameters (Å, degrees): 4.138 4.138 7.063 90.00 90.00 90.00
Space group P4/mmm (No. 123)
Symmetry-distinct sites (fractional):
Cs 0.000 0.000 0.000
La 0.500 0.500 0.500
F 0.000 0.500 0.311

Record 12
Here is a relaxed structure of CsLaF4 from Alexandria via LeMat-Bulk. Energies are from PBE.

Summary:
The value obtained for the energy relative to the elements, uncorrected is -3.705 eV per atom. The raw total energy is -5.916 eV per atom. The total magnetic moment comes out at 0.05 μB/f.u.

Lattice parameters (Å, degrees): 6.675 3.916 17.067 90.00 90.00 90.00
Space group Pnma (No. 62)
Symmetry-distinct sites (fractional):
Cs 0.227 0.250 0.198
La 0.248 0.750 0.445
F 0.004 0.750 0.948
F 0.106 0.250 0.821
F 0.117 0.250 0.377
F 0.128 0.250 0.536

Record 13
Here is a relaxed structure of CsLa2F6 from Alexandria via LeMat-Bulk. Energies are from PBE.

Summary:
The value obtained for the energy relative to the elements, uncorrected is -3.627 eV per atom. The raw total energy is -6.064 eV per atom. The total magnetic moment comes out at 0.97 μB/f.u.

Lattice parameters (Å, degrees): 4.200 4.200 20.449 90.00 90.00 90.00
Space group I4/mmm (No. 139)
Symmetry-distinct sites (fractional):
Cs 0.000 0.000 0.000
La 0.000 0.000 0.329
F 0.000 0.500 0.116
F 0.000 0.500 0.250

Record 14
Here is a relaxed structure of Cs2LaF6 from Alexandria via LeMat-Bulk. Energies are from PBE.

Summary:
The value obtained for the energy relative to the elements, uncorrected is -3.067 eV per atom. The raw total energy is -5.052 eV per atom. The total magnetic moment comes out at 1.13 μB/f.u.

Lattice parameters (Å, degrees): 14.391 6.980 4.321 90.00 106.16 90.00
Space group C2/m (No. 12)
Symmetry-distinct sites (fractional):
Cs 0.168 0.000 0.162
La 0.000 0.500 0.500
F 0.000 0.314 0.000
F 0.135 0.289 0.631

Record 15
Here is a relaxed structure of Cs2LaF4 from Alexandria via LeMat-Bulk. Energies are from PBE.

Summary:
The value obtained for the energy relative to the elements, uncorrected is -3.097 eV per atom. The raw total energy is -5.114 eV per atom. The total magnetic moment comes out at 0.14 μB/f.u.

Lattice parameters (Å, degrees): 4.698 4.698 22.328 90.00 90.00 90.00
Space group I4/mmm (No. 139)
Symmetry-distinct sites (fractional):
Cs 0.000 0.000 0.150
La 0.000 0.000 0.500
F 0.000 0.000 0.398
F 0.000 0.500 0.000

Record 16
Here is a relaxed structure of CsLa2F7 from Alexandria via LeMat-Bulk. Energies are from PBE.

Summary:
The value obtained for the energy relative to the elements, uncorrected is -3.899 eV per atom. The raw total energy is -6.280 eV per atom. The total magnetic moment comes out at 0.00 μB/f.u.

Lattice parameters (Å, degrees): 7.525 12.248 4.692 90.00 90.00 90.00
Space group Cmmm (No. 65)
Symmetry-distinct sites (fractional):
Cs 0.000 0.000 0.000
La 0.000 0.308 0.500
F 0.000 0.293 0.000
F 0.000 0.500 0.500
F 0.189 0.147 0.500

Record 17
Here is a relaxed structure of Cs2La2F7 from Alexandria via LeMat-Bulk. Energies are from PBE.

Summary:
The value obtained for the energy relative to the elements, uncorrected is -3.481 eV per atom. The raw total energy is -5.723 eV per atom. The total magnetic moment comes out at 0.89 μB/f.u.

Lattice parameters (Å, degrees): 8.150 8.782 7.239 90.00 90.00 90.00
Space group Cmmm (No. 65)
Symmetry-distinct sites (fractional):
Cs 0.242 0.000 0.000
La 0.000 0.229 0.500
F 0.000 0.000 0.317
F 0.000 0.500 0.500
F 0.250 0.250 0.315

Record 18
Here is a relaxed structure of Cs3LaF7 from Alexandria via LeMat-Bulk. Energies are from PBE.

Summary:
The value obtained for the energy relative to the elements, uncorrected is -3.003 eV per atom. The raw total energy is -4.874 eV per atom. The total magnetic moment comes out at 1.20 μB/f.u.

Lattice parameters (Å, degrees): 9.414 9.696 7.610 90.00 123.17 90.00
Space group Cm (No. 8)
Symmetry-distinct sites (fractional):
Cs 0.000 0.000 0.000
Cs 0.011 0.267 0.514
La 0.470 0.000 0.986
F 0.125 0.500 0.829
F 0.153 0.329 0.235
F 0.167 0.000 0.728
F 0.367 0.000 0.207
F 0.385 0.222 0.812

Record 19
Here is a relaxed structure of CsLa3F10 from Alexandria via LeMat-Bulk. Energies are from PBE.

Summary:
The value obtained for the energy relative to the elements, uncorrected is -3.995 eV per atom. The raw total energy is -6.449 eV per atom. The total magnetic moment comes out at 0.23 μB/f.u.

Lattice parameters (Å, degrees): 12.484 12.484 12.484 90.00 90.00 90.00
Space group Fm-3m (No. 225)
Symmetry-distinct sites (fractional):
Cs 0.250 0.250 0.250
La 0.000 0.000 0.240
F 0.000 0.164 0.336
F 0.110 0.110 0.110